[1]
This record from the Alexandria database describes an optimized crystal structure of Pr2Al3Ag. The functional is GGA-PBE.

```
Pr2Al3Ag
1.0
3.7938 0.0000 0.0000
0.0000 4.6544 0.0002
0.0000 -0.0002 8.0886
Al Ag Pr
3 1 2
direct
0.5000 0.0000 0.3335
0.5000 0.5000 0.8340
0.5000 0.0000 0.6645
0.5000 0.5000 0.1687
0.0000 0.0000 0.9955
0.0000 0.5000 0.5038
```

Results
Polymorph energy (0 for the lowest one)   1.18 kJ per mole of atoms
E_tot   -4.364 eV/atom
Space-group type   Pmm2 (25)
E_form   -0.42 eV/atom

---

[2]
This record from the Alexandria database describes an optimized crystal structure of PrAl2Ag. The functional is GGA-PBE.

```
PrAl2Ag
1.0
-2.9043 2.9792 -1.4691
-3.5849 0.9512 2.3900
0.5589 5.2113 2.8370
Al Pr Ag
2 1 1
direct
0.2104 0.2104 0.3687
0.7896 0.7896 0.6313
0.0000 0.0000 0.0000
0.5000 0.5000 0.5000
```

Results
Polymorph energy (0 for the lowest one)   8.39 kJ per mole of atoms
E_tot   -4.108 eV/atom
Space-group type   R-3m (166)
E_form   -0.33 eV/atom

---

[3]
This record from the Alexandria database describes an optimized crystal structure of PrAl6Ag6. The functional is GGA-PBE.

```
PrAl6Ag6
1.0
-0.8661 2.1545 4.9155
-6.9130 0.1310 1.7307
-0.0527 -4.9225 5.1545
Al Pr Ag
6 1 6
direct
0.5000 0.7710 0.2290
0.0000 0.5000 0.0000
0.5000 0.5000 0.0000
0.5000 0.0000 0.5000
0.0000 0.0000 0.5000
0.5000 0.2290 0.7710
0.0000 0.0000 0.0000
0.3480 0.6520 0.6520
0.0000 0.3429 0.6571
0.0000 0.6571 0.3429
0.7007 0.7993 0.7993
0.6520 0.3480 0.3480
0.2993 0.2007 0.2007
```

Results
E_tot   -3.607 eV/atom
Space-group type   Immm (71)
E_form   -0.20 eV/atom

---

[4]
This record from the Alexandria database describes an optimized crystal structure of PrAlAg. The functional is GGA-PBE.

```
PrAlAg
1.0
-3.8671 -1.2725 -2.5985
0.5720 -2.1441 -4.2897
-1.1204 -4.6674 -0.5353
Al Pr Ag
1 1 1
direct
0.0000 0.0000 0.0000
0.5000 0.5000 0.5000
0.2500 0.2500 0.2500
```

Results
E_tot   -3.946 eV/atom
Space-group type   F-43m (216)
E_form   -0.15 eV/atom

---

[5]
This record from the Alexandria database describes an optimized crystal structure of Pr3Al2Ag7. The functional is GGA-PBE.

```
Pr3Al2Ag7
1.0
-3.1081 -2.3466 1.7585
0.6961 -3.0796 -2.8793
11.2015 -3.6308 9.7620
Ag Pr Al
7 3 2
direct
0.5809 0.0809 0.1618
0.0809 0.5809 0.1618
0.9191 0.4191 0.8382
0.2233 0.2233 0.4466
0.0000 0.0000 0.0000
0.7767 0.7767 0.5534
0.4191 0.9191 0.8382
0.5000 0.5000 0.0000
0.3268 0.3268 0.6537
0.6732 0.6732 0.3463
0.8666 0.8666 0.7332
0.1334 0.1334 0.2668
```

Results
E_tot   -3.630 eV/atom
Space-group type   I4/mmm (139)
E_form   -0.15 eV/atom

---

[6]
This record from the Alexandria database describes an optimized crystal structure of PrAl2Ag. The functional is GGA-PBE.

```
PrAl2Ag
1.0
3.3426 0.0000 0.0000
0.0000 3.3426 0.0000
0.0000 0.0000 7.5485
Al Ag Pr
2 1 1
direct
0.0000 0.0000 0.2003
0.0000 0.0000 0.7997
0.5000 0.5000 0.0000
0.5000 0.5000 0.5000
```

Results
Polymorph energy (0 for the lowest one)   21.77 kJ per mole of atoms
E_tot   -3.969 eV/atom
Space-group type   P4/mmm (123)
E_form   -0.19 eV/atom